A relaxed structure of Rb2Zr2V, computed with PBE-GGA.

Calculated values
M_tot   0.000 μB/cell
Offset from the most stable computed form   0.0 meV per atom
V   33.3 Å³/atom
VASP energy   -46.50 eV for the cell shown
Crystal system   tetragonal

Structure (CIF):
```
data_Rb2Zr2V
_cell_length_a 6.8250
_cell_length_b 6.8250
_cell_length_c 7.1485
_cell_angle_alpha 90.00
_cell_angle_beta 90.00
_cell_angle_gamma 90.00
_space_group_name_H-M_alt 'P 4/m b m'
_space_group_IT_number 127
_space_group_name_Hall '-P 4 2ab'
loop_
_atom_site_label
_atom_site_fract_x
_atom_site_fract_y
_atom_site_fract_z
Rb1 0.1894 0.3106 0.0000
Zr1 0.1879 0.6879 0.5000
V1 0.0000 0.0000 0.5000
```